[1]
Compound: S6I2O
Source: the Alexandria database
Functional: PBE-GGA
Structure: optimized geometry

Lattice parameters (Å, degrees): 14.4053 15.8921 14.4053 52.43 102.49 52.43
Sites, in units of the cell vectors:
S  0.4811  0.5596  0.6308
S  0.3692  0.9404  0.5189
S  0.5189  0.4404  0.3692
S  0.6308  0.0596  0.4811
S  0.8687  0.1795  0.5990
S  0.4010  0.3205  0.1313
S  0.1313  0.8205  0.4010
S  0.5990  0.6795  0.8687
S  0.0508  0.0187  0.8801
S  0.1199  0.4813  0.9491
S  0.9492  0.9813  0.1199
S  0.8801  0.5187  0.0509
I  0.1429  0.1452  0.8456
I  0.1544  0.3548  0.8571
I  0.8571  0.8548  0.1544
I  0.8456  0.6452  0.1429
O  0.8065  0.7500  0.1935
O  0.1935  0.2500  0.8065

Computed properties:
Symmetry ... No. 15
E_form (uncorrected) ... 0.084 eV per atom
Total magnetization ... 0.0000 μB per atom

***

[2]
Compound: S3IO
Source: the Alexandria database
Functional: PBE-GGA
Structure: optimized geometry

Lattice parameters (Å, degrees): 4.4218 4.4218 4.4218 90.00 90.00 90.00
Sites, in units of the cell vectors:
I  0.5000  0.5000  0.5000
S  0.0000  0.5000  0.0000
S  0.0000  0.0000  0.5000
S  0.5000  0.0000  0.0000
O  0.0000  0.0000  0.0000

Computed properties:
Symmetry ... No. 221
E_form (uncorrected) ... 1.046 eV per atom
Energy relative to the lowest polymorph listed for this composition ... 0.00 kcal/mol of atoms
Total magnetization ... 0.0000 μB per atom
D(E_F) ... 0.935 states/eV/atom

***

[3]
Compound: S5IO
Source: the Alexandria database
Functional: PBE-GGA
Structure: optimized geometry

Lattice parameters (Å, degrees): 7.7991 8.7889 8.7889 110.76 66.60 66.60
Sites, in units of the cell vectors:
S  0.5659  0.9519  0.6784
S  0.6383  0.7421  0.1915
S  0.0659  0.1784  0.4519
S  0.7500  0.6141  0.8859
S  0.8617  0.3085  0.7579
S  0.1383  0.6915  0.2421
S  0.2500  0.3859  0.1141
S  0.9341  0.8216  0.5481
S  0.3617  0.2579  0.8085
S  0.4341  0.0481  0.3216
I  0.0000  0.0000  0.0000
I  0.5000  0.5000  0.5000
O  0.7500  0.3238  0.1762
O  0.2500  0.6762  0.8238

Computed properties:
Symmetry ... No. 15
E_form (uncorrected) ... 0.128 eV per atom
Total magnetization ... 0.0000 μB per atom
D(E_F) ... 0.591 states/eV/atom